Density functional theory data (GGA-PBE) for a geometry-optimized PtBrCl structure.

a b c (Å): 4.5851 4.5851 4.5851
angles (deg): 60.00 60.00 60.00
Closest atoms and distances in Å follow each position.
Atoms (fractional coordinates):
Br 0.0000 0.0000 0.0000  4 Pt 2.81
Cl 0.5000 0.5000 0.5000  4 Pt 2.81
Pt 0.7500 0.7500 0.7500  4 Br 2.81, 4 Cl 2.81

Computed properties:
Energy (eV/atom): -2.74
Density (g cm⁻³): 7.563
Size of the total moment (Bohr magnetons per cell): 1.98
Formation energy (no corrections) (eV per formula unit): 1.333
Crystal system: cubic

Density functional theory data (GGA-PBE) for a geometry-optimized Nd2Sm5Er6 structure.

a b c (Å): 3.5851 11.7031 20.4280
angles (deg): 90.00 90.00 90.00
Closest atoms and distances in Å follow each position.
Atoms (fractional coordinates):
Sm 0.5000 0.0875 0.2217  5 Er 3.31-3.46, 4 Nd 3.52-3.57, 2 Sm 3.59
Sm 0.5000 0.0000 0.5000  6 Er 3.38-3.40, 4 Sm 3.59-3.66
Sm 0.5000 0.5875 0.2783  5 Er 3.31-3.46, 4 Nd 3.52-3.57, 2 Sm 3.59
Sm 0.5000 0.9125 0.7783  5 Er 3.31-3.46, 4 Nd 3.52-3.57, 2 Sm 3.59
Sm 0.5000 0.5000 0.0000  6 Er 3.38-3.40, 4 Sm 3.59-3.66
Sm 0.5000 0.2994 0.4483  7 Er 3.58-3.94, 3 Sm 3.59-3.66, 2 Nd 3.84
Sm 0.5000 0.2006 0.9483  7 Er 3.58-3.94, 3 Sm 3.59-3.66, 2 Nd 3.84
Sm 0.5000 0.7006 0.5517  7 Er 3.58-3.94, 3 Sm 3.59-3.66, 2 Nd 3.84
Sm 0.5000 0.7994 0.0517  7 Er 3.58-3.94, 3 Sm 3.59-3.66, 2 Nd 3.84
Sm 0.5000 0.4125 0.7217  5 Er 3.31-3.46, 4 Nd 3.52-3.57, 2 Sm 3.59
Er 0.5000 0.1807 0.6288  2 Sm 3.31-3.38, 6 Er 3.50-3.67, 2 Nd 3.63
Er 0.0000 0.0761 0.3655  1 Nd 3.40, 6 Sm 3.40-3.59, 4 Er 3.50-3.59
Er 0.5000 0.6807 0.8712  2 Sm 3.31-3.38, 6 Er 3.50-3.67, 2 Nd 3.63
Er 0.0000 0.0605 0.0774  6 Sm 3.46-3.58, 5 Er 3.47-3.67
Er 0.5000 0.3193 0.1288  2 Sm 3.31-3.38, 6 Er 3.50-3.67, 2 Nd 3.63
Er 0.0000 0.4239 0.8655  1 Nd 3.40, 6 Sm 3.40-3.59, 4 Er 3.50-3.59
Er 0.0000 0.9395 0.9226  6 Sm 3.46-3.58, 5 Er 3.47-3.67
Er 0.5000 0.8193 0.3712  2 Sm 3.31-3.38, 6 Er 3.50-3.67, 2 Nd 3.63
Er 0.0000 0.5605 0.4226  6 Sm 3.46-3.58, 5 Er 3.47-3.67
Er 0.0000 0.9239 0.6345  1 Nd 3.40, 6 Sm 3.40-3.59, 4 Er 3.50-3.59
Er 0.0000 0.5761 0.1345  1 Nd 3.40, 6 Sm 3.40-3.59, 4 Er 3.50-3.59
Er 0.0000 0.4395 0.5774  6 Sm 3.46-3.58, 5 Er 3.47-3.67
Nd 0.0000 0.3283 0.2832  3 Er 3.40-3.63, 4 Sm 3.52-3.57, 2 Nd 3.59
Nd 0.0000 0.1717 0.7832  3 Er 3.40-3.63, 4 Sm 3.52-3.57, 2 Nd 3.59
Nd 0.0000 0.6717 0.7168  3 Er 3.40-3.63, 4 Sm 3.52-3.57, 2 Nd 3.59
Nd 0.0000 0.8283 0.2168  3 Er 3.40-3.63, 4 Sm 3.52-3.57, 2 Nd 3.59

Computed properties:
Energy (eV/atom): -4.56
Density (g cm⁻³): 7.919
Size of the total moment (Bohr magnetons per cell): 0.00
Crystal system: orthorhombic
DFT formation energy (eV per atom): 0.10

Density functional theory data (GGA-PBE) for a geometry-optimized Tb5Pr4Al structure.

a b c (Å): 3.6254 3.6254 24.3980
angles (deg): 90.00 90.00 90.00
Closest atoms and distances in Å follow each position.
Atoms (fractional coordinates):
Pr 0.0000 0.0000 0.6054  4 Pr 3.63, 8 Tb 3.63-3.64
Pr 0.0000 0.0000 0.8173  4 Pr 3.63, 8 Tb 3.64-3.67
Pr 0.0000 0.0000 0.1827  4 Pr 3.63, 8 Tb 3.64-3.67
Pr 0.0000 0.0000 0.3946  4 Pr 3.63, 8 Tb 3.63-3.64
Al 0.0000 0.0000 0.0000  8 Tb 3.15
Tb 0.5000 0.5000 0.5000  4 Tb 3.63, 8 Pr 3.63
Tb 0.5000 0.5000 0.0751  4 Al 3.15
Tb 0.5000 0.5000 0.9249  4 Al 3.15
Tb 0.5000 0.5000 0.2887  4 Tb 3.63, 8 Pr 3.64
Tb 0.5000 0.5000 0.7113  4 Tb 3.63, 8 Pr 3.64

Computed properties:
Energy (eV/atom): -4.66
Density (g cm⁻³): 7.173
Size of the total moment (Bohr magnetons per cell): 0.00
Crystal system: tetragonal
E above lowest polymorph (meV/atom): 0
DFT formation energy (eV per atom): -0.06

Density functional theory data (GGA-PBE) for a geometry-optimized CrSi2W structure.

a b c (Å): 3.8757 2.7890 5.0615
angles (deg): 82.50 90.00 90.00
Closest atoms and distances in Å follow each position.
Atoms (fractional coordinates):
Si 0.0000 0.9031 0.9945  2 Cr 2.37, 2 W 2.59, 1 Si 2.62
Si 0.0000 0.5969 0.5055  2 Cr 2.37, 2 W 2.59, 1 Si 2.62
W 0.5000 0.2500 0.2500  8 Si 2.59-2.85, 2 Cr 2.73, 2 W 2.79
Cr 0.5000 0.7500 0.7500  4 Si 2.37

Computed properties:
Energy (eV/atom): -8.30
Density (g cm⁻³): 8.939
Size of the total moment (Bohr magnetons per cell): 1.21
Formation energy (no corrections) (eV per formula unit): 0.211
Crystal system: monoclinic
E above lowest polymorph (meV/atom): 315

Density functional theory data (GGA-PBE) for a geometry-optimized Ca2SbF2 structure.

a b c (Å): 3.7285 3.7285 7.1752
angles (deg): 90.00 90.00 90.00
Closest atoms and distances in Å follow each position.
Atoms (fractional coordinates):
Ca 0.5000 0.5000 0.7096  4 F 2.40
Ca 0.5000 0.5000 0.2904  4 F 2.40
F 0.5000 0.0000 0.5000  4 Ca 2.40, 4 F 2.64
F 0.0000 0.5000 0.5000  4 Ca 2.40, 4 F 2.64
Sb 0.0000 0.0000 0.0000  8 Ca 3.36, 4 Sb 3.73

Computed properties:
Energy (eV/atom): -4.93
Density (g cm⁻³): 3.994
Size of the total moment (Bohr magnetons per cell): 0.00
Formation energy (no corrections) (eV per formula unit): -12.762
Crystal system: tetragonal
E above lowest polymorph (meV/atom): 0

Density functional theory data (GGA-PBE) for a geometry-optimized SiP structure.

a b c (Å): 2.6311 2.6311 9.2639
angles (deg): 90.00 90.00 110.14
Closest atoms and distances in Å follow each position.
Atoms (fractional coordinates):
P 0.5000 0.5000 0.7265  2 Si 2.52, 4 P 2.63
P 0.0000 0.0000 0.0235  2 Si 2.52, 4 P 2.63
Si 0.0000 0.0000 0.5081  2 P 2.52, 4 Si 2.63
Si 0.5000 0.5000 0.2419  2 P 2.52, 4 Si 2.63

Computed properties:
Energy (eV/atom): -4.84
Density (g cm⁻³): 3.258
Size of the total moment (Bohr magnetons per cell): 0.00
Formation energy (no corrections) (eV per formula unit): 1.161
Crystal system: orthorhombic

Density functional theory data (GGA-PBE) for a geometry-optimized Tb6HgIr2 structure.

a b c (Å): 8.5173 8.5173 8.5173
angles (deg): 104.36 111.05 113.13
Closest atoms and distances in Å follow each position.
Atoms (fractional coordinates):
Tb 0.1034 0.2837 0.8197  3 Ir 3.00-3.05, 1 Hg 3.18
Tb 0.2011 0.7608 0.9618  1 Ir 2.81
Tb 0.6914 0.0221 0.3308  3 Ir 2.76-2.98
Tb 0.3086 0.9779 0.6692  3 Ir 2.76-2.98
Tb 0.7989 0.7608 0.5597  1 Ir 2.81
Tb 0.6914 0.3606 0.6692  3 Ir 2.76-2.98
Tb 0.4641 0.2837 0.1803  3 Ir 3.00-3.05, 1 Hg 3.18
Tb 0.7989 0.2392 0.0382  1 Ir 2.81
Tb 0.5359 0.7163 0.8197  3 Ir 3.00-3.05, 1 Hg 3.18
Tb 0.8966 0.7163 0.1803  3 Ir 3.00-3.05, 1 Hg 3.18
Tb 0.3086 0.6394 0.3308  3 Ir 2.76-2.98
Tb 0.2011 0.2392 0.4403  1 Ir 2.81
Ir 0.5000 0.3699 0.8699  1 Ir 2.72, 6 Tb 2.76-3.00
Ir 0.6658 0.0000 0.6658  8 Tb 2.81-3.05
Ir 0.3342 0.0000 0.3342  8 Tb 2.81-3.05
Ir 0.5000 0.6301 0.1301  1 Ir 2.72, 6 Tb 2.76-3.00
Hg 0.0000 0.0000 0.0000  8 Tb 3.16-3.18, 2 Ir 3.22
Hg 0.0000 0.5000 0.5000  12 Tb 3.34-3.69

Computed properties:
Energy (eV/atom): -5.66
Density (g cm⁻³): 10.810
Size of the total moment (Bohr magnetons per cell): 0.00
Crystal system: orthorhombic
E above lowest polymorph (meV/atom): 0
DFT formation energy (eV per atom): -0.57

Density functional theory data (GGA-PBE) for a geometry-optimized Mg3GaSn2 structure.

a b c (Å): 4.3565 4.3836 8.4779
angles (deg): 104.88 118.91 90.03
Closest atoms and distances in Å follow each position.
Atoms (fractional coordinates):
Mg 0.3144 0.6657 0.3287  5 Sn 3.08-3.18, 4 Mg 3.18-3.28, 2 Ga 3.19-3.21
Mg 0.6856 0.3343 0.6713  5 Sn 3.08-3.18, 4 Mg 3.18-3.28, 2 Ga 3.19-3.21
Mg 0.5000 0.5000 0.0000  4 Ga 3.09, 4 Sn 3.13-3.16, 4 Mg 3.18-3.21
Sn 0.1996 0.8385 0.6821  7 Mg 3.08-3.18, 2 Ga 3.13-3.14, 2 Sn 3.39-3.41
Sn 0.8004 0.1615 0.3179  7 Mg 3.08-3.18, 2 Ga 3.13-3.14, 2 Sn 3.39-3.41
Ga 0.0000 0.0000 0.0000  8 Mg 3.09-3.21, 4 Sn 3.13-3.14

Computed properties:
Energy (eV/atom): -2.75
Density (g cm⁻³): 4.658
Size of the total moment (Bohr magnetons per cell): 0.00
Crystal system: triclinic
E above lowest polymorph (meV/atom): 0
DFT formation energy (eV per atom): -0.12

Density functional theory data (GGA-PBE) for a geometry-optimized SrMgSi2 structure.

a b c (Å): 5.0439 5.0439 5.0439
angles (deg): 60.00 60.00 60.00
Closest atoms and distances in Å follow each position.
Atoms (fractional coordinates):
Mg 0.5000 0.5000 0.5000  4 Sr 3.09, 4 Si 3.09
Sr 0.7500 0.7500 0.7500  4 Mg 3.09, 4 Si 3.09
Si 0.2500 0.2500 0.2500  4 Si 3.09, 4 Mg 3.09
Si 0.0000 0.0000 0.0000  4 Sr 3.09, 4 Si 3.09

Computed properties:
Energy (eV/atom): -3.26
Density (g cm⁻³): 3.076
Size of the total moment (Bohr magnetons per cell): 0.00
Formation energy (no corrections) (eV per formula unit): 1.070
Crystal system: cubic

Density functional theory data (GGA-PBE) for a geometry-optimized Rb3PdI structure.

a b c (Å): 6.4440 6.4440 6.4440
angles (deg): 90.00 90.00 90.00
Closest atoms and distances in Å follow each position.
Atoms (fractional coordinates):
Rb 0.0000 0.5000 0.0000  2 Pd 3.22
Rb 0.5000 0.0000 0.0000  2 Pd 3.22
Rb 0.0000 0.0000 0.5000  2 Pd 3.22
I 0.5000 0.5000 0.5000  12 Rb 4.56
Pd 0.0000 0.0000 0.0000  6 Rb 3.22

Computed properties:
Energy (eV/atom): -2.39
Density (g cm⁻³): 3.039
Size of the total moment (Bohr magnetons per cell): 0.00
Formation energy (no corrections) (eV per formula unit): -2.304
Crystal system: cubic
E above lowest polymorph (meV/atom): 0